# 1
Entry from the Alexandria database: a geometry-optimized K2MgP2 structure (PBE).

Cell lengths 6.8392, 6.8392, 5.3815 Å; angles 90.00, 90.00, 90.00 degrees
With the nearest neighbours (Å) after each atom.
Space group P4/mbm (No. 127)
Symmetry-distinct sites (fractional):
K: 0.1706 0.3294 0.0000 [4 per cell]  5 K 3.30-3.59, 6 P 3.35-3.38
Mg: 0.0000 0.0000 0.5000 [2 per cell]  4 P 2.74
P: 0.1172 0.6172 0.5000 [4 per cell]  1 P 2.27

## Properties
* polymorph energy (0 for the lowest one): 0.00 eV per formula unit
* calculated density: 2.2 g/cm3
* calculated formation energy: -30.5 kJ per mole of atoms


# 2
Entry from the Alexandria database: a geometry-optimized K2MgP2 structure (PBE).

Cell lengths 3.3409, 3.3409, 14.8762 Å; angles 90.00, 90.00, 90.00 degrees
With the nearest neighbours (Å) after each atom.
Space group P4/mmm (No. 123)
Symmetry-distinct sites (fractional):
K: 0.0000 0.0000 0.1381 [2 per cell]  1 P 2.98
Mg: 0.0000 0.0000 0.5000 [1 per cell]  2 P 2.41
P: 0.0000 0.0000 0.3381 [2 per cell]  1 Mg 2.41

## Properties
* polymorph energy (0 for the lowest one): 4.31 eV per formula unit
* calculated density: 1.6 g/cm3
* calculated formation energy: 52.7 kJ per mole of atoms


# 3
Entry from the Alexandria database: a geometry-optimized KMgP2Pt4 structure (PBE).

Cell lengths 4.0361, 4.0361, 10.0659 Å; angles 90.00, 90.00, 90.00 degrees
With the nearest neighbours (Å) after each atom.
Space group P4/mmm (No. 123)
Symmetry-distinct sites (fractional):
K: 0.0000 0.0000 0.0000 [1 per cell]  8 P 3.49, 8 Pt 3.74
Mg: 0.0000 0.0000 0.5000 [1 per cell]  8 Pt 2.76
P: 0.5000 0.5000 0.1991 [2 per cell]  4 Pt 2.32
Pt: 0.0000 0.5000 0.3128 [4 per cell]  2 P 2.32

## Properties
* calculated density: 9.2 g/cm3
* calculated formation energy: -57.8 kJ per mole of atoms


# 4
Entry from the Alexandria database: a geometry-optimized K2MgP2Se6 structure (PBE).

Cell lengths 7.1406, 7.1406, 21.6331 Å; angles 90.00, 90.00, 120.00 degrees
With the nearest neighbours (Å) after each atom.
Space group R-3m (No. 166, hexagonal axes)
Symmetry-distinct sites (fractional):
K: 0.0000 0.0000 0.2301 [6 per cell]  9 Se 3.56-3.58
Mg: 0.0000 0.0000 0.0000 [3 per cell]  6 Se 2.79
P: 0.0000 0.0000 0.4445 [6 per cell]  3 Se 2.21, 1 P 2.40
Se: 0.0182 0.5091 0.7588 [18 per cell]  1 P 2.21

## Properties
* polymorph energy (0 for the lowest one): 1.74 eV per formula unit
* calculated density: 3.3 g/cm3
* ΔE_f (raw): -6.29 eV/f.u.


# 5
Entry from the Alexandria database: a geometry-optimized K2MgP2Se6 structure (PBE).

Cell lengths 6.5783, 13.0092, 9.0884 Å; angles 90.00, 121.98, 90.00 degrees
With the nearest neighbours (Å) after each atom.
Space group P2_1/c (No. 14)
Symmetry-distinct sites (fractional):
K: 0.1495 0.1968 0.4404 [4 per cell]  7 Se 3.40-3.80
Mg: 0.5000 0.0000 0.0000 [2 per cell]  6 Se 2.76-2.81
P: 0.1483 0.5240 0.6360 [4 per cell]  3 Se 2.20-2.21, 1 P 2.28
Se: 0.0434 0.0468 0.7282 [4 per cell]  1 P 2.20
Se: 0.3155 0.6616 0.6008 [4 per cell]  1 P 2.21
Se: 0.4128 0.1023 0.2323 [4 per cell]  1 P 2.21

## Properties
* polymorph energy (0 for the lowest one): 0.00 eV per formula unit
* calculated density: 3.2 g/cm3
* ΔE_f (raw): -8.03 eV/f.u.


# 6
Entry from the Alexandria database: a geometry-optimized K2MgP2Se6 structure (PBE).

Cell lengths 8.4249, 13.6392, 6.5869 Å; angles 90.00, 91.79, 90.00 degrees
With the nearest neighbours (Å) after each atom.
Space group C2/m (No. 12)
Symmetry-distinct sites (fractional):
K: 0.0000 0.1761 0.0000 [4 per cell]  6 Se 3.39-3.44
Mg: 0.0000 0.5000 0.5000 [2 per cell]  6 Se 2.76-2.83
P: 0.1298 0.5000 0.0551 [4 per cell]  3 Se 2.20-2.21, 1 P 2.28
Se: 0.1573 0.3704 0.2548 [8 per cell]  1 P 2.21
Se: 0.2353 0.0000 0.2250 [4 per cell]  1 P 2.20

## Properties
* polymorph energy (0 for the lowest one): 0.01 eV per formula unit
* calculated density: 2.8 g/cm3
* ΔE_f (raw): -8.02 eV/f.u.


# 7
Entry from the Alexandria database: a geometry-optimized K2MgSnP structure (PBE).

Cell lengths 6.7727, 6.7727, 5.0289 Å; angles 90.00, 90.00, 90.00 degrees
With the nearest neighbours (Å) after each atom.
Space group P4/mmm (No. 123)
Symmetry-distinct sites (fractional):
K: 0.0000 0.5000 0.0000 [2 per cell]  2 Sn 3.39
Mg: 0.0000 0.0000 0.5000 [1 per cell]  8 K 4.22
Sn: 0.5000 0.5000 0.0000 [1 per cell]  2 P 2.51
P: 0.5000 0.5000 0.5000 [1 per cell]  2 Sn 2.51

## Properties
* calculated density: 1.8 g/cm3
* calculated formation energy: 27.4 kJ per mole of atoms


# 8
Entry from the Alexandria database: a geometry-optimized KMgTa2P structure (PBE).

Cell lengths 4.7705, 4.7705, 4.8218 Å; angles 90.00, 90.00, 90.00 degrees
With the nearest neighbours (Å) after each atom.
Space group P4/mmm (No. 123)
Symmetry-distinct sites (fractional):
K: 0.0000 0.0000 0.0000 [1 per cell]  4 Ta 2.39, 2 Mg 2.41
Mg: 0.0000 0.0000 0.5000 [1 per cell]  2 K 2.41
Ta: 0.0000 0.5000 0.0000 [2 per cell]  2 K 2.39
P: 0.5000 0.5000 0.5000 [1 per cell]  4 Mg 3.37, 8 Ta 3.39

## Properties
* calculated density: 6.9 g/cm3
* calculated formation energy: 275.2 kJ per mole of atoms


# 9
Entry from the Alexandria database: a geometry-optimized KYMgP2 structure (PBE).

Cell lengths 5.0578, 5.0578, 5.3287 Å; angles 90.00, 90.00, 90.00 degrees
With the nearest neighbours (Å) after each atom.
Space group P4/mmm (No. 123)
Symmetry-distinct sites (fractional):
K: 0.0000 0.0000 0.0000 [1 per cell]  4 Y 3.58, 8 P 3.67
Y: 0.5000 0.5000 0.0000 [1 per cell]  2 Mg 2.66
Mg: 0.5000 0.5000 0.5000 [1 per cell]  4 P 2.53, 2 Y 2.66
P: 0.0000 0.5000 0.5000 [2 per cell]  2 Mg 2.53

## Properties
* calculated density: 2.6 g/cm3
* calculated formation energy: 43.1 kJ per mole of atoms


# 10
Entry from the Alexandria database: a geometry-optimized K3Mg2PaS6 structure (PBE).

Cell lengths 6.7803, 11.7503, 7.6950 Å; angles 90.00, 107.03, 90.00 degrees
With the nearest neighbours (Å) after each atom.
Space group C2/m (No. 12)
Symmetry-distinct sites (fractional):
K: 0.0000 0.0000 0.0000 [2 per cell]  6 S 3.18-3.19
K: 0.0000 0.3308 0.0000 [4 per cell]  6 S 3.17-3.19
Mg: 0.0000 0.1665 0.5000 [4 per cell]  6 S 2.68-2.69
Pa: 0.0000 0.5000 0.5000 [2 per cell]  6 S 2.67
S: 0.2310 0.3343 0.6956 [8 per cell]  1 Pa 2.67, 2 Mg 2.68-2.69
S: 0.2343 0.0000 0.6963 [4 per cell]  1 Pa 2.67, 2 Mg 2.69

## Properties
* calculated density: 3.3 g/cm3
* ΔE_f (raw): -17.68 eV/f.u.


# 11
Entry from the Alexandria database: a geometry-optimized KMgPaS4 structure (PBE).

Cell lengths 8.2738, 8.5524, 10.8715 Å; angles 90.00, 90.00, 90.00 degrees
With the nearest neighbours (Å) after each atom.
Space group Imma (No. 74)
Symmetry-distinct sites (fractional):
K: 0.0000 0.2500 0.1474 [4 per cell]  4 S 2.92-2.94
Mg: 0.2500 0.2500 0.7500 [4 per cell]  6 S 2.65-2.78
Pa: 0.0000 0.0000 0.5000 [4 per cell]  6 S 2.61-2.70
S: 0.0000 0.0572 0.7357 [8 per cell]  1 Pa 2.61, 2 Mg 2.65, 1 K 2.92
S: 0.1998 0.2500 0.4972 [8 per cell]  2 Pa 2.70, 1 Mg 2.78, 1 K 2.94

## Properties
* calculated density: 3.6 g/cm3
* ΔE_f (raw): -10.03 eV/f.u.


# 12
Entry from the Alexandria database: a geometry-optimized K4MgPa3Se8 structure (PBE).

Cell lengths 8.3263, 8.3263, 23.3679 Å; angles 90.00, 90.00, 120.00 degrees
With the nearest neighbours (Å) after each atom.
Space group R-3m (No. 166, hexagonal axes)
Symmetry-distinct sites (fractional):
K: 0.0000 0.0000 0.0000 [3 per cell]  6 Se 3.36
K: 0.0000 0.5000 0.0000 [9 per cell]  6 Se 3.28-3.31
Mg: 0.0000 0.0000 0.5000 [3 per cell]  6 Se 2.84
Pa: 0.0000 0.5000 0.5000 [9 per cell]  6 Se 2.91-2.92
Se: 0.0000 0.0000 0.2378 [6 per cell]  3 Pa 2.92
Se: 0.0072 0.5036 0.2350 [18 per cell]  1 Mg 2.84, 2 Pa 2.91

## Properties
* calculated density: 5.3 g/cm3
* ΔE_f (raw): -21.11 eV/f.u.


# 13
Entry from the Alexandria database: a geometry-optimized KMgPaSe4 structure (PBE).

Cell lengths 8.8355, 8.9896, 10.9933 Å; angles 90.00, 90.00, 90.00 degrees
With the nearest neighbours (Å) after each atom.
Space group Imma (No. 74)
Symmetry-distinct sites (fractional):
K: 0.0000 0.2500 0.1443 [4 per cell]  4 Se 3.03-3.06
Mg: 0.2500 0.2500 0.7500 [4 per cell]  6 Se 2.80-2.88
Pa: 0.0000 0.0000 0.5000 [4 per cell]  6 Se 2.74-2.85
Se: 0.0000 0.0592 0.7449 [8 per cell]  1 Pa 2.74, 2 Mg 2.80, 1 K 3.03
Se: 0.1973 0.2500 0.4917 [8 per cell]  2 Pa 2.85, 1 Mg 2.88, 1 K 3.06

## Properties
* calculated density: 4.6 g/cm3
* ΔE_f (raw): -8.78 eV/f.u.


# 14
Entry from the Alexandria database: a geometry-optimized K3MgPa3Se8 structure (PBE).

Cell lengths 8.2739, 8.2739, 23.6896 Å; angles 90.00, 90.00, 120.00 degrees
With the nearest neighbours (Å) after each atom.
Space group R-3m (No. 166, hexagonal axes)
Symmetry-distinct sites (fractional):
K: 0.0000 0.5000 0.0000 [9 per cell]  6 Se 3.30-3.36
Mg: 0.0000 0.0000 0.5000 [3 per cell]  6 Se 2.83
Pa: 0.0000 0.5000 0.5000 [9 per cell]  6 Se 2.88-2.91
Se: 0.0000 0.0000 0.2370 [6 per cell]  3 Pa 2.91
Se: 0.0049 0.5025 0.2331 [18 per cell]  1 Mg 2.83, 2 Pa 2.88

## Properties
* calculated density: 5.2 g/cm3
* ΔE_f (raw): -20.08 eV/f.u.


# 15
Entry from the Alexandria database: a geometry-optimized K3MgPa3Te8 structure (PBE).

Cell lengths 8.7949, 8.7949, 25.5175 Å; angles 90.00, 90.00, 120.00 degrees
With the nearest neighbours (Å) after each atom.
Space group R-3m (No. 166, hexagonal axes)
Symmetry-distinct sites (fractional):
K: 0.0000 0.5000 0.0000 [9 per cell]  6 Te 3.51-3.56
Mg: 0.0000 0.0000 0.5000 [3 per cell]  6 Te 3.06
Pa: 0.0000 0.5000 0.5000 [9 per cell]  6 Te 3.09-3.13
Te: 0.0000 0.0000 0.2381 [6 per cell]  3 Pa 3.13
Te: 0.0036 0.5018 0.2349 [18 per cell]  1 Mg 3.06, 2 Pa 3.09

## Properties
* calculated density: 5.4 g/cm3
* ΔE_f (raw): -13.85 eV/f.u.


# 16
Entry from the Alexandria database: a geometry-optimized K4MgPa3Te8 structure (PBE).

Cell lengths 8.8828, 8.8828, 25.0764 Å; angles 90.00, 90.00, 120.00 degrees
With the nearest neighbours (Å) after each atom.
Space group R-3m (No. 166, hexagonal axes)
Symmetry-distinct sites (fractional):
K: 0.0000 0.0000 0.0000 [3 per cell]  6 Te 3.58
K: 0.0000 0.5000 0.0000 [9 per cell]  6 Te 3.50-3.52
Mg: 0.0000 0.0000 0.5000 [3 per cell]  6 Te 3.05
Pa: 0.0000 0.5000 0.5000 [9 per cell]  6 Te 3.12-3.14
Te: 0.0000 0.0000 0.2386 [6 per cell]  3 Pa 3.14, 3 K 3.50
Te: 0.0072 0.5036 0.2361 [18 per cell]  1 Mg 3.05, 2 Pa 3.12

## Properties
* calculated density: 5.5 g/cm3
* ΔE_f (raw): -15.07 eV/f.u.


# 17
Entry from the Alexandria database: a geometry-optimized K3MgPa2Te6 structure (PBE).

Cell lengths 7.7100, 13.3479, 8.7164 Å; angles 90.00, 107.16, 90.00 degrees
With the nearest neighbours (Å) after each atom.
Space group C2/m (No. 12)
Symmetry-distinct sites (fractional):
K: 0.0000 0.0000 0.0000 [2 per cell]  6 Te 3.52-3.57
K: 0.0000 0.3319 0.0000 [4 per cell]  6 Te 3.52-3.56
Mg: 0.0000 0.5000 0.5000 [2 per cell]  6 Te 3.06-3.07
Pa: 0.0000 0.1662 0.5000 [4 per cell]  6 Te 3.12
Te: 0.2329 0.3364 0.7084 [8 per cell]  1 Mg 3.06, 2 Pa 3.12
Te: 0.2429 0.0000 0.7095 [4 per cell]  1 Mg 3.07, 2 Pa 3.12

## Properties
* calculated density: 5.3 g/cm3
* ΔE_f (raw): -11.39 eV/f.u.


# 18
Entry from the Alexandria database: a geometry-optimized K2MgPaTe4 structure (PBE).

Cell lengths 7.7287, 4.4721, 8.6423 Å; angles 90.00, 107.86, 90.00 degrees
With the nearest neighbours (Å) after each atom.
Space group P2/m (No. 10)
Symmetry-distinct sites (fractional):
K: 0.0000 0.0000 0.0000 [1 per cell]  6 Te 3.50-3.58
K: 0.5000 0.5000 0.0000 [1 per cell]  6 Te 3.51-3.59
Mg: 0.0000 0.5000 0.5000 [1 per cell]  6 Te 3.03-3.13
Pa: 0.5000 0.0000 0.5000 [1 per cell]  6 Te 3.09-3.10
Te: 0.2278 0.0000 0.6970 [2 per cell]  2 Mg 3.03, 1 Pa 3.09
Te: 0.2636 0.5000 0.2884 [2 per cell]  2 Pa 3.10, 1 Mg 3.13

## Properties
* calculated density: 4.9 g/cm3
* ΔE_f (raw): -7.75 eV/f.u.


# 19
Entry from the Alexandria database: a geometry-optimized KMgPb11 structure (PBE).

Cell lengths 6.4751, 16.0400, 8.7317 Å; angles 90.00, 109.28, 90.00 degrees
With the nearest neighbours (Å) after each atom.
Space group C2/m (No. 12)
Symmetry-distinct sites (fractional):
K: 0.0000 0.0000 0.0000 [2 per cell]  18 Pb 4.08-4.37, 2 Mg 4.50
Mg: 0.0000 0.5000 0.5000 [2 per cell]  10 Pb 3.19-3.49
Pb: 0.0000 0.0000 0.5000 [2 per cell]  2 Mg 3.24, 8 Pb 3.37-3.43
Pb: 0.0991 0.3931 0.2235 [8 per cell]  1 Mg 3.19, 5 Pb 3.36-3.49
Pb: 0.1775 0.1760 0.3577 [8 per cell]  8 Pb 3.34-3.71, 1 Mg 3.49
Pb: 0.2500 0.2500 0.0000 [4 per cell]  10 Pb 3.24-3.62

## Properties
* calculated density: 9.1 g/cm3
* calculated formation energy: -2.5 kJ per mole of atoms


# 20
Entry from the Alexandria database: a geometry-optimized KMg3Pb2 structure (PBE).

Cell lengths 18.1297, 4.8439, 9.2740 Å; angles 90.00, 114.15, 90.00 degrees
With the nearest neighbours (Å) after each atom.
Space group C2/m (No. 12)
Symmetry-distinct sites (fractional):
K: 0.1482 0.0000 0.0582 [4 per cell]  7 Pb 3.75-3.89, 4 Mg 4.06-4.17
Mg: 0.0412 0.0000 0.3716 [4 per cell]  3 Pb 2.94-3.04, 3 Mg 3.28-3.29
Mg: 0.0866 0.5000 0.6604 [4 per cell]  3 Pb 2.98-3.01, 4 Mg 3.11-3.33
Mg: 0.1871 0.5000 0.4579 [4 per cell]  4 Pb 2.98-3.19, 3 Mg 3.11-3.20
Pb: 0.0270 0.5000 0.1814 [4 per cell]  4 Mg 2.94-2.98, 1 Pb 3.10
Pb: 0.1896 0.0000 0.6843 [4 per cell]  6 Mg 3.01-3.19

## Properties
* calculated density: 4.7 g/cm3
* calculated formation energy: -11.7 kJ per mole of atoms